[1]
Material: YGa4NiRh2
Method: DFT, GGA-PBE
State: relaxed

Properties
* calculated formation energy: -0.615 eV per atom
* E: -5.4967 eV/atom
* DOS at the Fermi energy: 0.65 states/eV per atom

abc: 4.2139 4.2139 25.5707
angles: 90.00 90.00 120.00
Space group R-3m (No. 166, hexagonal axes)
One atom of each set of equivalent atoms:
Y: 0.0000 0.0000 0.0000
Ga: 0.0000 0.0000 0.1326
Ga: 0.0000 0.0000 0.4005
Ni: 0.0000 0.0000 0.5000
Rh: 0.0000 0.0000 0.2336



[2]
Material: Y2GaNi5Rh2
Method: DFT, GGA-PBE
State: relaxed

Properties
* calculated formation energy: -0.302 eV per atom
* E: -6.2587 eV/atom
* DOS at the Fermi energy: 1.01 states/eV per atom

abc: 9.1107 9.1107 3.7504
angles: 90.00 90.00 90.00
Space group P4/mbm (No. 127)
One atom of each set of equivalent atoms:
Y: 0.1700 0.3300 0.0000
Ga: 0.0000 0.0000 0.0000
Ni: 0.0000 0.5000 0.5000
Ni: 0.0572 0.8102 0.5000
Rh: 0.1300 0.6300 0.0000



> The lowest calculated formation energy belongs to which entry?

YGa4NiRh2



> Look up the DOS at the Fermi energy of the first one.

0.65 states/eV per atom